# SiAsPbSe2

Crystalline SiAsPbSe2 at its relaxed geometry (GGA-PBEsol, Alexandria via LeMat-Bulk).

Total DFT energy (no corrections) (eV/atom): -3.4155
E_form (uncorrected) (meV/atom): 1095
DOS at the Fermi energy (states/eV/f.u.): 4.64

Cell: 5.293 5.293 5.264 Å, 90.00 90.00 90.00°
Space group P4/mmm (No. 123)
Symmetry-distinct sites (fractional):
Si: 0.000 0.000 0.000 [1 per cell]
As: 0.500 0.500 0.000 [1 per cell]
Pb: 0.500 0.500 0.500 [1 per cell]
Se: 0.000 0.500 0.500 [2 per cell]